First-principles (PBE) data for a relaxed PrTh2NpAs4 crystal, as listed in Alexandria.

Cell and atoms, written as CIF:
```
data_PrTh2NpAs4
_cell_length_a 4.246
_cell_length_b 7.350
_cell_length_c 7.319
_cell_angle_alpha 109.57
_cell_angle_beta 90.00
_cell_angle_gamma 90.00
_symmetry_space_group_name_H-M 'P 1'
_symmetry_Int_Tables_number 1
loop_
_symmetry_equiv_pos_as_xyz
'x,y,z'
loop_
_atom_site_label
_atom_site_type_symbol
_atom_site_fract_x
_atom_site_fract_y
_atom_site_fract_z
Pr1 Pr 0.000 0.000 0.000
Th1 Th 0.500 0.000 0.500
Th2 Th 0.000 0.500 0.500
Np1 Np 0.500 0.500 0.000
As1 As 0.500 0.255 0.251
As2 As 0.500 0.745 0.749
As3 As 0.000 0.257 0.754
As4 As 0.000 0.743 0.246
```

Computed properties:
The calculation puts the density of states at the Fermi level at 1.75 states/eV per atom. The formation energy is -28.80 kcal/mol of atoms. The spin magnetization comes out at 0.544 μB per atom.

First-principles (PBE) data for a relaxed GeIO2 crystal, as listed in Alexandria.

Cell and atoms, written as CIF:
```
data_GeIO2
_cell_length_a 5.794
_cell_length_b 5.794
_cell_length_c 5.795
_cell_angle_alpha 60.01
_cell_angle_beta 60.01
_cell_angle_gamma 90.00
_symmetry_space_group_name_H-M 'P 1'
_symmetry_Int_Tables_number 1
loop_
_symmetry_equiv_pos_as_xyz
'x,y,z'
loop_
_atom_site_label
_atom_site_type_symbol
_atom_site_fract_x
_atom_site_fract_y
_atom_site_fract_z
I1 I 0.000 0.000 0.000
I2 I 0.750 0.250 0.500
Ge1 Ge 0.500 0.500 0.000
Ge2 Ge 0.250 0.750 0.500
O1 O 0.374 0.125 0.250
O2 O 0.376 0.625 0.250
O3 O 0.375 0.626 0.750
O4 O 0.875 0.624 0.750
```

Computed properties:
As for the offset from the most stable computed form: 0.174 eV per atom. The calculation puts the energy relative to the elements, uncorrected at -749 meV/atom. The calculation puts the density of states at the Fermi level at 0.00 states/eV per atom. The spin magnetization comes out at 0.250 μB per atom.

First-principles (PBE) data for a relaxed CdCu2W crystal, as listed in Alexandria.

Cell and atoms, written as CIF:
```
data_CdCu2W
_cell_length_a 5.498
_cell_length_b 5.498
_cell_length_c 5.498
_cell_angle_alpha 151.73
_cell_angle_beta 129.31
_cell_angle_gamma 59.06
_symmetry_space_group_name_H-M 'P 1'
_symmetry_Int_Tables_number 1
loop_
_symmetry_equiv_pos_as_xyz
'x,y,z'
loop_
_atom_site_label
_atom_site_type_symbol
_atom_site_fract_x
_atom_site_fract_y
_atom_site_fract_z
Cd1 Cd 0.238 0.738 0.500
Cu1 Cu 0.986 0.986 0.000
Cu2 Cu 0.762 0.262 0.500
W1 W 0.515 0.515 0.000
```

Computed properties:
The calculation puts the density of states at the Fermi level at 0.67 states/eV per atom. The formation energy is 10.59 kcal/mol of atoms. The spin magnetization comes out at 0.000 μB per atom.

> What is the formula in the third record?

CdCu2W